No. 1
The following is a PBE calculation of a geometry-optimized Cd2SbMo structure, from the Alexandria database.

a = 4.090 Å, b = 4.365 Å, c = 9.676 Å
α = 90.00°, β = 90.00°, γ = 90.00°
Space group Cmmm (No. 65)
One atom of each set of equivalent atoms:
Cd: 0.000 0.000 0.218 [4 per cell]
Sb: 0.000 0.500 0.500 [2 per cell]
Mo: 0.000 0.500 0.000 [2 per cell]

Electronic total energy, eV per atom: -3.756
Calculated volume, A^3/atom: 21.60
Total moment, μB/f.u.: 0.000

No. 2
The following is a PBE calculation of a geometry-optimized FeAg2MoCl structure, from the Alexandria database.

a = 5.072 Å, b = 5.072 Å, c = 4.192 Å
α = 90.00°, β = 90.00°, γ = 90.00°
Space group P4/mmm (No. 123)
One atom of each set of equivalent atoms:
Fe: 0.000 0.000 0.000 [1 per cell]
Ag: 0.000 0.500 0.000 [2 per cell]
Mo: 0.500 0.500 0.500 [1 per cell]
Cl: 0.000 0.000 0.500 [1 per cell]

Electronic total energy, eV per atom: -4.238
Calculated volume, A^3/atom: 21.57
Total moment, μB/f.u.: 7.072

No. 3
The following is a PBE calculation of a geometry-optimized PPdRh2O structure, from the Alexandria database.

a = 4.044 Å, b = 4.044 Å, c = 4.372 Å
α = 90.00°, β = 90.00°, γ = 90.00°
Space group P4/mmm (No. 123)
One atom of each set of equivalent atoms:
P: 0.000 0.000 0.000 [1 per cell]
Pd: 0.500 0.500 0.000 [1 per cell]
Rh: 0.000 0.500 0.500 [2 per cell]
O: 0.500 0.500 0.500 [1 per cell]

Electronic total energy, eV per atom: -5.729
Calculated volume, A^3/atom: 14.30
Total moment, μB/f.u.: 0.000